(1)
# Pm2YHg

Crystalline Pm2YHg at its relaxed geometry (PBE, the Alexandria database).

The structure belongs to space group Cmcm (No. 63); the cell edges are 3.737, 12.487 and 10.446 Å and the angles 90.00°, 90.00° and 90.00°. The distinct sites, in fractional coordinates, are Pm at (0.000, 0.131, 0.041), Y at (0.000, 0.452, 0.250) and Hg at (0.000, 0.256, 0.750).

The distance to the lowest polymorph of the same formula is 0.00 kJ per mole of atoms. The value obtained for the mass density is 7.9 g cm⁻³. For the magnetization, the calculation gives 0.0000 μB per atom. The value obtained for the energy is -17.2 eV/f.u. As for the formation energy: -233 meV per atom. The density of states at the Fermi level comes out at 15.12 states/eV per cell.

(2)
# PmY2Hg

Crystalline PmY2Hg at its relaxed geometry (PBE, the Alexandria database).

The structure belongs to space group P4/mmm (No. 123); the cell edges are 4.875, 4.875 and 4.823 Å and the angles 90.00°, 90.00° and 90.00°. The distinct sites, in fractional coordinates, are Pm at (0.000, 0.000, 0.000), Y at (0.000, 0.500, 0.500) and Hg at (0.500, 0.500, 0.000).

The distance to the lowest polymorph of the same formula is 7.56 kJ per mole of atoms. The value obtained for the mass density is 7.6 g cm⁻³. For the magnetization, the calculation gives 0.1513 μB per atom. The value obtained for the energy is -18.6 eV/f.u. As for the formation energy: -164 meV per atom. The density of states at the Fermi level comes out at 5.09 states/eV per cell.

(3)
# PmY2Hg2

Crystalline PmY2Hg2 at its relaxed geometry (PBE, the Alexandria database).

The structure belongs to space group P2_1/m (No. 11); the cell edges are 3.765, 5.380 and 13.892 Å and the angles 90.00°, 97.79° and 90.00°. The distinct sites, in fractional coordinates, are Pm at (0.147, 0.250, 0.291), Y at (0.048, 0.750, 0.095), Y at (0.235, 0.750, 0.471), Hg at (0.356, 0.250, 0.712) and Hg at (0.454, 0.750, 0.908).

The value obtained for the mass density is 8.6 g cm⁻³. For the magnetization, the calculation gives 0.0000 μB per atom. The value obtained for the energy is -20.3 eV/f.u. As for the formation energy: -395 meV per atom. The density of states at the Fermi level comes out at 10.35 states/eV per cell.

> Among the records above, which one has the highest magnetization?

PmY2Hg

> Look up the mass density of the first one.

7.9 g cm⁻³

What did the second record say?
# PmY2Hg

Crystalline PmY2Hg at its relaxed geometry (PBE, the Alexandria database).

The structure belongs to space group P4/mmm (No. 123); the cell edges are 4.875, 4.875 and 4.823 Å and the angles 90.00°, 90.00° and 90.00°. The distinct sites, in fractional coordinates, are Pm at (0.000, 0.000, 0.000), Y at (0.000, 0.500, 0.500) and Hg at (0.500, 0.500, 0.000).

The distance to the lowest polymorph of the same formula is 7.56 kJ per mole of atoms. The value obtained for the mass density is 7.6 g cm⁻³. For the magnetization, the calculation gives 0.1513 μB per atom. The value obtained for the energy is -18.6 eV/f.u. As for the formation energy: -164 meV per atom. The density of states at the Fermi level comes out at 5.09 states/eV per cell.

> Among the records above, which one has the lowest mass density?

PmY2Hg